VASP calculation (PBE) on an optimized crystal structure of CsY3Ir.

As for the final energy: -5.91 eV/atom. Its space-group type is Pm-3m. As for the total magnetization: 0.00 μB per cell.

abc: 5.6059 5.6059 5.6059
angles: 90.00 90.00 90.00
Closest atoms and distances in Å follow each position.
Fractional positions:
Cs (0.0000, 0.0000, 0.0000)  12 Y 3.96
Y (0.0000, 0.5000, 0.5000)  2 Ir 2.80
Y (0.5000, 0.0000, 0.5000)  2 Ir 2.80
Y (0.5000, 0.5000, 0.0000)  2 Ir 2.80
Ir (0.5000, 0.5000, 0.5000)  6 Y 2.80